1.
Compound: Gd2DyHf
Source: Alexandria
Functional: PBE-GGA
Structure: optimized geometry

Properties
The spin magnetization is 3.52 μB/atom. For the polymorph energy (0 for the lowest one), the calculation gives 33 meV per atom. Its space group is No. 123. For the final energy, the calculation gives -42.119 eV for the cell shown.

Cell and atoms, written as POSCAR:
```
Gd2DyHf
1.0
-0.878 -3.624 3.096
-2.802 -2.165 -3.330
3.873 -2.393 -1.702
Hf Gd Dy
1 2 1
Cartesian
-0.439 -1.812 1.548
-1.401 -1.083 -1.665
1.936 -1.197 -0.851
0.096 -4.091 -0.968
```

---

2.
Compound: GdDyHf2
Source: Alexandria
Functional: PBE-GGA
Structure: optimized geometry

Properties
The spin magnetization is 1.78 μB/atom. Its space group is No. 123. For the final energy, the calculation gives -37.815 eV for the cell shown.

Cell and atoms, written as POSCAR:
```
GdDyHf2
1.0
-2.533 3.181 2.570
1.170 -2.232 3.915
3.781 2.686 0.402
Gd Hf Dy
1 2 1
Cartesian
1.209 1.818 3.443
0.585 -1.116 1.957
1.891 1.343 0.201
-1.266 1.590 1.285
```

---

3.
Compound: GdDy2Hf
Source: Alexandria
Functional: PBE-GGA
Structure: optimized geometry

Properties
The spin magnetization is 1.89 μB/atom. For the polymorph energy (0 for the lowest one), the calculation gives 75 meV per atom. Its space group is No. 123. For the final energy, the calculation gives -32.385 eV for the cell shown.

Cell and atoms, written as POSCAR:
```
GdDy2Hf
1.0
3.955 0.000 0.000
0.000 3.955 0.000
0.000 0.000 7.460
Dy Hf Gd
2 1 1
Cartesian
0.000 0.000 1.631
0.000 0.000 5.829
1.978 1.978 0.000
1.978 1.978 3.730
```

---

4.
Compound: GdDy2Hf
Source: Alexandria
Functional: PBE-GGA
Structure: optimized geometry

Properties
The spin magnetization is 1.75 μB/atom. For the polymorph energy (0 for the lowest one), the calculation gives 0 meV per atom. Its space group is No. 123. For the final energy, the calculation gives -32.685 eV for the cell shown.

Cell and atoms, written as POSCAR:
```
GdDy2Hf
1.0
4.844 0.000 0.000
0.000 4.849 0.000
0.000 0.000 4.849
Gd Hf Dy
1 1 2
Cartesian
2.422 0.000 0.000
2.422 2.424 2.424
0.000 0.000 2.424
0.000 2.424 0.000
```